<1>
Compound: PrYI
Source: Alexandria via LeMat-Bulk
Functional: PBE
Structure: optimized geometry

## Properties
Space group = P4/nmm, No. 129
M_tot = 0.000 Bohr magnetons per cell
V = 33.37 Å³ per atom

Unit cell a=3.752 b=3.752 c=14.222 alpha=90.00 beta=90.00 gamma=90.00
Sites, in units of the cell vectors:
Pr: 0.250 0.250 0.090
Pr: 0.750 0.750 0.910
Y: 0.250 0.250 0.418
Y: 0.750 0.750 0.582
I: 0.250 0.250 0.732
I: 0.750 0.750 0.268

<2>
Compound: PrYI
Source: Alexandria via LeMat-Bulk
Functional: PBE
Structure: optimized geometry

## Properties
Space group = P3m1, No. 156
M_tot = 0.000 Bohr magnetons per cell
V = 33.63 Å³ per atom

Unit cell a=5.463 b=5.463 c=3.903 alpha=90.00 beta=90.00 gamma=120.00
Sites, in units of the cell vectors:
Pr: 0.000 0.000 0.000
Y: 0.667 0.333 0.482
I: 0.333 0.667 0.382

Winner for stability: <1>

<1>
Compound: PrYI3
Source: Alexandria via LeMat-Bulk
Functional: PBE
Structure: optimized geometry

## Properties
Space group = C2/m, No. 12
M_tot = 0.000 Bohr magnetons per cell
V = 46.85 Å³ per atom

Unit cell a=10.551 b=10.551 c=11.696 alpha=111.93 beta=111.93 gamma=22.90
Sites, in units of the cell vectors:
Pr: 0.078 0.078 0.250
Pr: 0.922 0.922 0.750
Y: 0.426 0.426 0.028
Y: 0.574 0.574 0.972
I: 0.078 0.078 0.770
I: 0.191 0.191 0.130
I: 0.363 0.363 0.531
I: 0.637 0.637 0.469
I: 0.809 0.809 0.870
I: 0.922 0.922 0.230

<2>
Compound: PrYI3
Source: Alexandria via LeMat-Bulk
Functional: PBE
Structure: optimized geometry

## Properties
Space group = C2/m, No. 12
M_tot = 0.000 Bohr magnetons per cell
V = 42.97 Å³ per atom

Unit cell a=10.310 b=10.310 c=12.586 alpha=124.37 beta=124.37 gamma=23.14
Sites, in units of the cell vectors:
Pr: 0.134 0.134 0.279
Pr: 0.866 0.866 0.721
Y: 0.434 0.434 0.039
Y: 0.566 0.566 0.961
I: 0.035 0.035 0.750
I: 0.211 0.211 0.117
I: 0.335 0.335 0.494
I: 0.665 0.665 0.506
I: 0.789 0.789 0.883
I: 0.965 0.965 0.250

Winner for stability: <2>